Record 1
A plane-wave DFT calculation with PBE was carried out for a geometry-optimized Ac2Zn3Cd4Hg structure.

Structure (extended XYZ):
```
10
Lattice="-1.344 4.406 1.114 -1.263 -1.478 4.322 10.257 2.184 3.743" Properties=species:S:1:pos:R:3 pbc="T T T"
Zn 0.670 -0.462 2.636
Cd 0.000 0.000 0.000
Ac 7.053 0.897 4.965
Ac 1.900 2.751 1.496
Zn 5.128 1.092 1.871
Cd 3.071 0.049 3.512
Zn 8.284 4.110 3.825
Cd 5.883 3.598 2.949
Cd -1.304 1.464 2.718
Hg 3.825 2.556 4.589
```

Results
ΔH_f (0 K) = -0.25 eV per atom
SG = P-4m2 (115)
Total energy = -18.488 eV for the cell shown
Fermi-level density of states = 0.7086 states/eV/atom

---

Record 2
A plane-wave DFT calculation with PBE was carried out for a geometry-optimized Ni2WCl structure.

Structure (extended XYZ):
```
4
Lattice="4.210 -0.009 -0.098 3.252 2.674 -0.098 0.650 0.232 6.264" Properties=species:S:1:pos:R:3 pbc="T T T"
Cl 0.902 0.322 1.668
W 4.361 1.558 3.557
Ni 1.112 0.397 5.677
Ni 6.443 2.302 4.462
```

Results
SG = Cm (8)
ΔE_f (raw) = 110 kJ/mol of formula units
Total energy = -25.224 eV for the cell shown
Relative energy among the computed polymorphs = 52.6 kJ/mol of formula units
Fermi-level density of states = 0.5616 states/eV/atom

---

Record 3
A plane-wave DFT calculation with PBE was carried out for a geometry-optimized Tb2Ce3TmTe6 structure.

Structure (extended XYZ):
```
12
Lattice="-1.681 -3.819 -6.339 -0.340 -3.474 6.738 -6.368 4.424 0.536" Properties=species:S:1:pos:R:3 pbc="T T T"
Te -2.222 -0.783 -1.929
Tb -1.233 -3.704 -1.973
Ce -4.194 -1.435 0.468
Te -5.342 1.547 0.507
Tb -0.788 -3.589 2.373
Tm 0.000 0.000 0.000
Te -1.781 -0.670 2.377
Te -3.046 -4.416 0.429
Te -6.166 -2.086 2.864
Ce -3.751 -1.321 4.791
Ce -4.637 -1.549 -3.855
Te -6.607 -2.199 -1.442
```

Results
SG = C2/m (12)
ΔE_f (raw) = -1539 kJ/mol of formula units
Total energy = -66.334 eV for the cell shown
Fermi-level density of states = 1.8871 states/eV/atom

---

Record 4
A plane-wave DFT calculation with PBE was carried out for a geometry-optimized Ta2HgW structure.

Structure (extended XYZ):
```
4
Lattice="-3.140 2.532 -2.805 1.240 -1.392 -4.545 -1.058 -2.882 3.835" Properties=species:S:1:pos:R:3 pbc="T T T"
Hg -2.574 0.110 -1.322
W -0.384 -1.852 -2.193
Ta 0.000 0.000 0.000
Ta -0.950 0.570 -3.675
```

Results
ΔH_f (0 K) = 0.35 eV per atom
SG = I4/mmm (139)
Total energy = -35.540 eV for the cell shown
Fermi-level density of states = 0.6925 states/eV/atom

---

Record 5
A plane-wave DFT calculation with PBE was carried out for a geometry-optimized HoMg5Rh6 structure.

Structure (extended XYZ):
```
12
Lattice="4.377 0.002 -0.910 -0.003 6.389 -0.001 -0.817 0.000 7.004" Properties=species:S:1:pos:R:3 pbc="T T T"
Mg 0.906 6.390 4.324
Rh 0.460 4.759 2.220
Mg 2.642 3.196 1.728
Ho 0.000 0.000 0.000
Rh 0.462 1.631 2.220
Mg 2.652 0.001 1.769
Rh 1.370 4.731 6.548
Mg 0.915 3.195 4.365
Rh 2.188 1.660 -0.455
Rh 3.096 4.760 3.873
Rh 3.098 1.633 3.873
Mg -0.001 3.195 0.000
```

Results
ΔH_f (0 K) = -0.57 eV per atom
SG = P2/m (10)
Total energy = -63.513 eV for the cell shown
Fermi-level density of states = 0.5400 states/eV/atom

---

Record 6
A plane-wave DFT calculation with PBE was carried out for a geometry-optimized Se2Br structure.

Structure (extended XYZ):
```
6
Lattice="3.798 0.000 0.000 0.000 6.229 0.000 0.000 0.000 9.552" Properties=species:S:1:pos:R:3 pbc="T T T"
Br 0.000 0.000 0.000
Br 1.899 3.115 4.776
Se 1.899 2.217 0.634
Se 0.000 5.332 4.142
Se 1.899 4.012 8.917
Se 0.000 0.897 5.410
```

Results
SG = Pnnm (58)
ΔE_f (raw) = 52 kJ/mol of formula units
Total energy = -16.203 eV for the cell shown
Relative energy among the computed polymorphs = 65.4 kJ/mol of formula units
Fermi-level density of states = 1.0195 states/eV/atom

---

Q: Number 2 is which compound?
A: Ni2WCl